Record 1
{"formula": "Al2AgBi", "functional": "PBE-GGA", "state": "relaxed", "final_energy_ev_per_cell": -13.4, "m_tot_mub_per_atom": 0.0000, "crystal_system": "trigonal", "lattice": [[1.627, 0.939, 9.867], [-1.627, 0.939, 9.867], [0.000, -1.879, 9.867]], "species": ["Al", "Al", "Ag", "Bi"], "frac_coords": [[0.099, 0.099, 0.099], [0.901, 0.901, 0.901], [0.500, 0.500, 0.500], [0.000, 0.000, 0.000]]}

***

Record 2
{"formula": "AlGa2AgBi", "functional": "PBE-GGA", "state": "relaxed", "final_energy_ev_per_cell": -14.9, "m_tot_mub_per_atom": 0.0000, "crystal_system": "tetragonal", "lattice": [[5.001, 0.000, 0.000], [0.000, 5.001, 0.000], [0.000, 0.000, 5.022]], "species": ["Al", "Ga", "Ga", "Ag", "Bi"], "frac_coords": [[0.000, 0.000, 0.000], [0.000, 0.500, 0.500], [0.500, 0.000, 0.500], [0.000, 0.000, 0.500], [0.500, 0.500, 0.000]]}

***

Record 3
{"formula": "Hf2AlAgBi", "functional": "PBE-GGA", "state": "relaxed", "final_energy_ev_per_cell": -25.9, "m_tot_mub_per_atom": 0.0000, "crystal_system": "tetragonal", "lattice": [[5.021, 0.000, 0.000], [0.000, 5.021, 0.000], [0.000, 0.000, 5.338]], "species": ["Hf", "Hf", "Al", "Ag", "Bi"], "frac_coords": [[0.000, 0.500, 0.000], [0.500, 0.000, 0.000], [0.000, 0.000, 0.000], [0.500, 0.500, 0.500], [0.000, 0.000, 0.500]]}

***

Record 4
{"formula": "K2AlAgBi", "functional": "PBE-GGA", "state": "relaxed", "final_energy_ev_per_cell": -11.4, "m_tot_mub_per_atom": 0.0000, "crystal_system": "tetragonal", "lattice": [[6.897, 0.000, 0.000], [0.000, 6.897, 0.000], [0.000, 0.000, 5.404]], "species": ["K", "K", "Al", "Ag", "Bi"], "frac_coords": [[0.000, 0.500, 0.000], [0.500, 0.000, 0.000], [0.000, 0.000, 0.500], [0.500, 0.500, 0.500], [0.000, 0.000, 0.000]]}

***

Record 5
{"formula": "AlAg2BiP", "functional": "PBE-GGA", "state": "relaxed", "final_energy_ev_per_cell": -13.3, "m_tot_mub_per_atom": 0.3931, "crystal_system": "tetragonal", "lattice": [[5.349, 0.000, 0.000], [0.000, 5.349, 0.000], [0.000, 0.000, 5.603]], "species": ["Al", "Ag", "Ag", "Bi", "P"], "frac_coords": [[0.000, 0.000, 0.000], [0.000, 0.500, 0.500], [0.500, 0.000, 0.500], [0.000, 0.000, 0.500], [0.500, 0.500, 0.000]]}

***

Record 6
{"formula": "AlAg3Bi3S8", "functional": "PBE-GGA", "state": "relaxed", "final_energy_ev_per_cell": -62.0, "m_tot_mub_per_atom": 0.0000, "crystal_system": "monoclinic", "lattice": [[6.748, -3.929, 0.000], [6.748, 3.929, 0.000], [-4.483, 0.000, 6.413]], "species": ["Al", "Ag", "Ag", "Ag", "Bi", "Bi", "Bi", "S", "S", "S", "S", "S", "S", "S", "S"], "frac_coords": [[0.000, 0.000, 0.000], [0.000, 0.000, 0.500], [0.000, 0.500, 0.000], [0.500, 0.000, 0.000], [0.000, 0.500, 0.500], [0.500, 0.000, 0.500], [0.500, 0.500, 0.000], [0.215, 0.775, 0.223], [0.224, 0.224, 0.216], [0.225, 0.785, 0.777], [0.246, 0.246, 0.753], [0.754, 0.754, 0.247], [0.775, 0.215, 0.223], [0.776, 0.776, 0.784], [0.785, 0.225, 0.777]]}

***

Record 7
{"formula": "AlAg2BiS4", "functional": "PBE-GGA", "state": "relaxed", "final_energy_ev_per_cell": -67.0, "m_tot_mub_per_atom": 0.0000, "crystal_system": "orthorhombic", "lattice": [[8.719, 0.000, 0.000], [0.000, 6.949, 0.000], [0.000, 0.000, 6.535]], "species": ["Al", "Al", "Ag", "Ag", "Ag", "Ag", "Bi", "Bi", "S", "S", "S", "S", "S", "S", "S", "S"], "frac_coords": [[0.000, 0.175, 0.000], [0.500, 0.825, 0.500], [0.247, 0.689, 0.008], [0.253, 0.311, 0.508], [0.747, 0.311, 0.508], [0.753, 0.689, 0.008], [0.000, 0.817, 0.484], [0.500, 0.183, 0.984], [0.000, 0.176, 0.353], [0.000, 0.863, 0.892], [0.211, 0.332, 0.893], [0.289, 0.668, 0.393], [0.500, 0.137, 0.392], [0.500, 0.824, 0.853], [0.711, 0.668, 0.393], [0.789, 0.332, 0.893]]}

***

Record 8
{"formula": "AlAg2BiSe4", "functional": "PBE-GGA", "state": "relaxed", "final_energy_ev_per_cell": -60.9, "m_tot_mub_per_atom": 0.0000, "crystal_system": "orthorhombic", "lattice": [[8.895, 0.000, 0.000], [0.000, 7.409, 0.000], [0.000, 0.000, 6.964]], "species": ["Al", "Al", "Ag", "Ag", "Ag", "Ag", "Bi", "Bi", "Se", "Se", "Se", "Se", "Se", "Se", "Se", "Se"], "frac_coords": [[0.000, 0.179, 0.000], [0.500, 0.821, 0.500], [0.246, 0.691, 0.015], [0.254, 0.309, 0.515], [0.746, 0.309, 0.515], [0.754, 0.691, 0.015], [0.000, 0.835, 0.491], [0.500, 0.165, 0.991], [0.000, 0.187, 0.351], [0.000, 0.867, 0.896], [0.218, 0.342, 0.891], [0.282, 0.658, 0.391], [0.500, 0.133, 0.396], [0.500, 0.813, 0.851], [0.718, 0.658, 0.391], [0.782, 0.342, 0.891]]}